[1]
Li2NiW: relaxed, GGA-PBEsol.

extended XYZ file:
```
4
Lattice="2.512 0.000 0.000 0.000 2.512 0.000 0.000 0.000 8.390" Properties=species:S:1:pos:R:3 pbc="T T T"
Li 0.000 0.000 1.861
Li 0.000 0.000 6.529
Ni 1.256 1.256 0.000
W 1.256 1.256 4.195
```

Output
- E_form: 1.68 eV/f.u.
- M_tot: 0.04 μB per atom
- Calculated volume: 52.97 Å³/cell
- SG: P4/mmm
- E above lowest polymorph: 157 meV per atom

***

[2]
Li2NiW: relaxed, GGA-PBEsol.

extended XYZ file:
```
4
Lattice="2.525 0.000 0.000 0.000 3.993 0.000 -1.220 0.000 5.314" Properties=species:S:1:pos:R:3 pbc="T T T"
Li 0.000 0.000 0.000
Li 0.011 1.996 4.248
Ni -0.026 1.996 1.580
W 1.241 0.000 2.472
```

Output
- E_form: 1.05 eV/f.u.
- M_tot: 0.00 μB per atom
- Calculated volume: 53.57 Å³/cell
- SG: Pm
- E above lowest polymorph: 0 meV per atom

***

[3]
Li2NiW: relaxed, GGA-PBEsol.

extended XYZ file:
```
8
Lattice="-3.276 3.276 2.372 3.276 -3.276 2.372 3.276 3.276 -2.372" Properties=species:S:1:pos:R:3 pbc="T T T"
Li 1.638 1.412 -0.593
Li 1.864 -1.638 2.965
Li 1.638 1.864 1.779
Li 1.412 4.913 0.593
Ni 0.000 0.000 0.000
Ni 0.000 3.276 1.186
W 3.276 0.000 1.186
W 0.000 0.000 2.372
```

Output
- E_form: 3.69 eV/f.u.
- M_tot: 0.00 μB per atom
- Calculated volume: 101.80 Å³/cell
- SG: I-42d
- E above lowest polymorph: 659 meV per atom